(1)
This record from Alexandria via LeMat-Bulk describes an optimized crystal structure of Co2TcRu. The functional is PBE.

DFT formation energy in kcal/mol of atoms: 2.96
D(E_F) in states/eV/f.u.: 6.0
Space-group type: No. 123
M_tot in μB per cell: 1.34

a b c (Å): 2.599 2.599 7.338
angles (deg): 90.00 90.00 90.00
Positions (direct):
1 Co 0.000 0.000 0.247
2 Co 0.000 0.000 0.753
3 Tc 0.500 0.500 0.500
4 Ru 0.500 0.500 0.000

(2)
This record from Alexandria via LeMat-Bulk describes an optimized crystal structure of Co2TcRu. The functional is PBE.

DFT formation energy in kcal/mol of atoms: 2.63
D(E_F) in states/eV/f.u.: 5.6
Space-group type: No. 69
M_tot in μB per cell: 2.84

a b c (Å): 5.184 5.192 7.339
angles (deg): 90.00 90.00 90.00
Positions (direct):
1 Co 0.250 0.250 0.250
2 Co 0.250 0.250 0.750
3 Co 0.250 0.750 0.250
4 Co 0.250 0.750 0.750
5 Co 0.750 0.250 0.250
6 Co 0.750 0.250 0.750
7 Co 0.750 0.750 0.250
8 Co 0.750 0.750 0.750
9 Tc 0.000 0.000 0.000
10 Tc 0.000 0.500 0.500
11 Tc 0.500 0.000 0.500
12 Tc 0.500 0.500 0.000
13 Ru 0.000 0.000 0.500
14 Ru 0.000 0.500 0.000
15 Ru 0.500 0.000 0.000
16 Ru 0.500 0.500 0.500

(3)
This record from Alexandria via LeMat-Bulk describes an optimized crystal structure of Co2TcRu. The functional is PBE.

DFT formation energy in kcal/mol of atoms: 2.49
D(E_F) in states/eV/f.u.: 5.3
Space-group type: No. 123
M_tot in μB per cell: 0.75

a b c (Å): 3.664 3.664 3.678
angles (deg): 90.00 90.00 90.00
Positions (direct):
1 Co 0.000 0.500 0.000
2 Co 0.500 0.000 0.000
3 Tc 0.000 0.000 0.500
4 Ru 0.500 0.500 0.500

(4)
This record from Alexandria via LeMat-Bulk describes an optimized crystal structure of CoTc4Ru. The functional is PBE.

DFT formation energy in kcal/mol of atoms: 10.67
D(E_F) in states/eV/f.u.: 5.3
Space-group type: No. 216
M_tot in μB per cell: 1.59

a b c (Å): 5.024 5.024 5.024
angles (deg): 60.00 60.00 60.00
Positions (direct):
1 Co 0.000 0.000 0.000
2 Tc 0.374 0.374 0.374
3 Tc 0.374 0.374 0.877
4 Tc 0.374 0.877 0.374
5 Tc 0.877 0.374 0.374
6 Ru 0.750 0.750 0.750

(5)
This record from Alexandria via LeMat-Bulk describes an optimized crystal structure of Co2TcRu. The functional is PBE.

DFT formation energy in kcal/mol of atoms: 2.78
D(E_F) in states/eV/f.u.: 5.9
Space-group type: No. 99
M_tot in μB per cell: 2.46

a b c (Å): 2.644 2.644 7.183
angles (deg): 90.00 90.00 90.00
Positions (direct):
1 Co 0.000 0.000 0.000
2 Co 0.500 0.500 0.224
3 Tc 0.500 0.500 0.750
4 Ru 0.000 0.000 0.474

(6)
This record from Alexandria via LeMat-Bulk describes an optimized crystal structure of Co2TcRu. The functional is PBE.

DFT formation energy in kcal/mol of atoms: 2.60
D(E_F) in states/eV/f.u.: 4.9
Space-group type: No. 47
M_tot in μB per cell: 0.00

a b c (Å): 2.583 3.706 5.152
angles (deg): 90.00 90.00 90.00
Positions (direct):
1 Co 0.000 0.000 0.248
2 Co 0.000 0.000 0.752
3 Tc 0.500 0.500 0.500
4 Ru 0.500 0.500 0.000

Question: What is the D(E_F) in the fifth record?
Answer: 5.9 states/eV/f.u.

Question: D(E_F) of number 5 (Co2TcRu)?
Answer: 5.9 states/eV/f.u.

Repeat the fourth record exactly.
This record from Alexandria via LeMat-Bulk describes an optimized crystal structure of CoTc4Ru. The functional is PBE.

DFT formation energy in kcal/mol of atoms: 10.67
D(E_F) in states/eV/f.u.: 5.3
Space-group type: No. 216
M_tot in μB per cell: 1.59

a b c (Å): 5.024 5.024 5.024
angles (deg): 60.00 60.00 60.00
Positions (direct):
1 Co 0.000 0.000 0.000
2 Tc 0.374 0.374 0.374
3 Tc 0.374 0.374 0.877
4 Tc 0.374 0.877 0.374
5 Tc 0.877 0.374 0.374
6 Ru 0.750 0.750 0.750